(1)
SrCaTi2Ir after structural relaxation, computed with PBE.

a = 4.907 Å, b = 4.907 Å, c = 5.188 Å
α = 90.00°, β = 90.00°, γ = 90.00°
Space group P4/mmm (No. 123)
Symmetry-distinct sites (fractional):
Sr 0.000 0.000 0.000
Ca 0.500 0.500 0.500
Ti 0.000 0.500 0.000
Ir 0.000 0.000 0.500

Summary:
VASP energy = -4.12 eV per atom
M_tot = 0.00 μB per cell

(2)
PrTm4Rh5 after structural relaxation, computed with PBE.

a = 3.370 Å, b = 3.370 Å, c = 17.535 Å
α = 90.00°, β = 90.00°, γ = 90.00°
Space group P4/mmm (No. 123)
Symmetry-distinct sites (fractional):
Pr 0.000 0.000 0.000
Tm 0.000 0.000 0.207
Tm 0.000 0.000 0.402
Rh 0.500 0.500 0.113
Rh 0.500 0.500 0.305
Rh 0.500 0.500 0.500

Summary:
VASP energy = -6.82 eV per atom
M_tot = 0.00 μB per cell

(3)
Ba2AlHg after structural relaxation, computed with PBE.

a = 8.380 Å, b = 8.380 Å, c = 8.380 Å
α = 90.00°, β = 90.00°, γ = 90.00°
Space group Fm-3m (No. 225)
Symmetry-distinct sites (fractional):
Ba 0.250 0.250 0.250
Al 0.000 0.000 0.000
Hg 0.000 0.000 0.500

Summary:
VASP energy = -2.25 eV per atom
M_tot = 0.00 μB per cell

(4)
Sm5HgPt2 after structural relaxation, computed with PBE.

a = 8.039 Å, b = 8.039 Å, c = 13.443 Å
α = 90.00°, β = 90.00°, γ = 90.00°
Space group I4/mcm (No. 140)
Symmetry-distinct sites (fractional):
Sm 0.000 0.000 0.000
Sm 0.160 0.340 0.138
Hg 0.000 0.000 0.250
Pt 0.134 0.366 0.500

Summary:
VASP energy = -5.25 eV per atom
M_tot = 0.00 μB per cell

(5)
La3NdB2N6 after structural relaxation, computed with PBE.

a = 5.7336 Å, b = 5.7336 Å, c = 6.5370 Å
α = 90.00°, β = 90.00°, γ = 120.00°
Space group P-3m1 (No. 164)
Symmetry-distinct sites (fractional):
La 0.0000 0.0000 0.0000
La 0.3333 0.6667 0.6711
Nd 0.0000 0.0000 0.5000
B 0.3333 0.6667 0.2480
N 0.1868 0.3736 0.2681

Summary:
VASP energy = -8.04 eV per atom
M_tot = 0.00 μB per cell
Uncorrected formation energy = -1.14 eV/atom

(6)
CuIrRu2 after structural relaxation, computed with PBE.

a = 8.940 Å, b = 2.706 Å, c = 4.619 Å
α = 90.00°, β = 99.84°, γ = 90.00°
Space group C2/m (No. 12)
Symmetry-distinct sites (fractional):
Cu 0.000 0.000 0.000
Ir 0.000 0.500 0.500
Ru 0.246 0.000 0.752

Summary:
VASP energy = -7.70 eV per atom
M_tot = 0.00 μB per cell

(7)
FeTc after structural relaxation, computed with PBE.

a = 8.647 Å, b = 2.611 Å, c = 4.573 Å
α = 90.00°, β = 98.98°, γ = 90.00°
Space group C2/m (No. 12)
Symmetry-distinct sites (fractional):
Fe 0.127 0.000 0.379
Tc 0.120 0.500 0.857

Summary:
VASP energy = -9.29 eV per atom
M_tot = 4.47 μB per cell

(8)
Na2TiC after structural relaxation, computed with PBE.

a = 9.982 Å, b = 9.982 Å, c = 3.999 Å
α = 90.00°, β = 90.00°, γ = 90.00°
Space group I-42d (No. 122)
Symmetry-distinct sites (fractional):
Na 0.092 0.750 0.125
Ti 0.000 0.000 0.500
C 0.000 0.000 0.000

Summary:
VASP energy = -4.15 eV per atom
M_tot = 3.79 μB per cell

(9)
LuPuSe after structural relaxation, computed with PBE.

a = 3.515 Å, b = 3.515 Å, c = 12.387 Å
α = 90.00°, β = 90.00°, γ = 90.00°
Space group I4mm (No. 107)
Symmetry-distinct sites (fractional):
Lu 0.000 0.000 0.000
Pu 0.000 0.000 0.285
Se 0.000 0.000 0.635

Summary:
VASP energy = -8.19 eV per atom
M_tot = 12.31 μB per cell
Uncorrected formation energy = -0.74 eV/atom

(10)
TcMo2Ru after structural relaxation, computed with PBE.

a = 2.707 Å, b = 4.337 Å, c = 5.243 Å
α = 90.00°, β = 99.92°, γ = 90.00°
Space group P2/m (No. 10)
Symmetry-distinct sites (fractional):
Tc 0.000 0.000 0.000
Mo 0.208 0.500 0.748
Ru 0.500 0.000 0.500

Summary:
VASP energy = -10.16 eV per atom
M_tot = 0.00 μB per cell

(11)
LaPr7Th2 after structural relaxation, computed with PBE.

a = 6.357 Å, b = 6.398 Å, c = 9.758 Å
α = 108.98°, β = 102.42°, γ = 99.77°
Space group P-1 (No. 2)
Symmetry-distinct sites (fractional):
La 0.000 0.000 0.000
Pr 0.092 0.199 0.693
Pr 0.299 0.596 0.105
Pr 0.392 0.789 0.789
Pr 0.500 0.000 0.500
Th 0.204 0.405 0.406

Summary:
VASP energy = -5.28 eV per atom
M_tot = 0.00 μB per cell

(12)
PrHo3Tm5 after structural relaxation, computed with PBE.

a = 7.123 Å, b = 17.344 Å, c = 9.172 Å
α = 90.00°, β = 90.00°, γ = 90.00°
Space group Imma (No. 74)
Symmetry-distinct sites (fractional):
Pr 0.000 0.250 0.049
Ho 0.000 0.063 0.748
Ho 0.250 0.250 0.750
Tm 0.000 0.250 0.409
Tm 0.248 0.086 0.070

Summary:
VASP energy = -4.41 eV per atom
M_tot = 0.00 μB per cell

Q: Which of these has the highest VASP energy?
A: Ba2AlHg